Nd4CoBrCl2: optimized geometry, PBE-GGA.

Computed properties:
Formation energy from raw total energies (eV/atom): -1.036

a = 7.2838 Å, b = 3.9755 Å, c = 7.7916 Å
α = 90.00°, β = 107.92°, γ = 90.00°
With the nearest neighbours (Å) after each atom.
Atoms (fractional coordinates):
Nd (0.2116, 0.0000, 0.2043)  2 Co 2.71, 1 Cl 3.00
Nd (0.2454, 0.5000, 0.7903)  1 Co 2.77, 2 Cl 2.86
Nd (0.7546, 0.5000, 0.2097)  1 Co 2.77, 2 Cl 2.86
Nd (0.7884, 0.0000, 0.7957)  2 Co 2.71, 1 Cl 3.00
Co (0.0000, 0.5000, 0.0000)  6 Nd 2.71-2.77
Br (0.0000, 0.0000, 0.5000)  6 Nd 3.13-3.14
Cl (0.5000, 0.0000, 0.0000)  6 Nd 2.86-3.00
Cl (0.5000, 0.5000, 0.5000)  6 Nd 3.27-3.34


Tb4Cd2AgHg: optimized geometry, PBE-GGA.

Computed properties:
E_form (meV/atom): -348.5

a = 9.1269 Å, b = 9.1269 Å, c = 9.1269 Å
α = 33.58°, β = 33.58°, γ = 33.58°
With the nearest neighbours (Å) after each atom.
Atoms (fractional coordinates):
Tb (0.1239, 0.1239, 0.1239)  1 Ag 3.20, 4 Cd 3.22-3.25, 3 Hg 3.24
Tb (0.3740, 0.3740, 0.3740)  4 Cd 3.21-3.24, 3 Ag 3.22, 1 Hg 3.25
Tb (0.6260, 0.6260, 0.6260)  4 Cd 3.21-3.24, 3 Ag 3.22, 1 Hg 3.25
Tb (0.8761, 0.8761, 0.8761)  1 Ag 3.20, 4 Cd 3.22-3.25, 3 Hg 3.24
Cd (0.2498, 0.2498, 0.2498)  8 Tb 3.21-3.25
Cd (0.7502, 0.7502, 0.7502)  8 Tb 3.21-3.25
Ag (0.0000, 0.0000, 0.0000)  8 Tb 3.20-3.22
Hg (0.5000, 0.5000, 0.5000)  8 Tb 3.24-3.25


| no. | E_tot (eV/atom) | M_tot (μB/f.u.) |
| --- | --- | --- |
| 1 | -4.978 | 0.00 |
| 2 | -3.287 | 0.01 |